## ZrBe2PdW (GGA-PBE)

Data for ZrBe2PdW after structural relaxation.

Computed properties:
E_tot = -29.6 eV for the cell shown
ΔE_f = 0.90 eV per atom
total moment = 0.00 μB/f.u.

```
ZrBe2PdW
1.0
4.345 0.000 0.000
0.000 4.345 0.000
0.000 0.000 4.719
Zr Be Pd W
1 2 1 1
Direct
0.000 0.000 0.000
0.000 0.500 0.500
0.500 0.000 0.500
0.500 0.500 0.000
0.500 0.500 0.500
```